Density functional theory data (PBE) for Os2Ru2Rh7 after structural relaxation.

The space group is C2/m (No. 12) and the conventional cell measures 6.8827, 7.3205 and 6.5407 Å, with angles of 90.00, 101.08 and 90.00 degrees. Symmetry generates all atoms from Os at (0.0000, 0.1825, 0.0000), Ru at (0.1591, 0.5000, 0.9201), Rh at (0.0000, 0.5000, 0.5000), Rh at (0.1014, 0.0000, 0.3461) and Rh at (0.2249, 0.1925, 0.7005).

The mass density is 13.38 g/cm³. The calculated volume comes out at 14.700 Å³ per atom. The crystal system is monoclinic. The value obtained for the formation energy is 20.51 kJ per mole of atoms.